Entry 1:
# Mg2Bi2Se

A relaxed Mg2Bi2Se crystal (PBE, Alexandria).

a b c (Å): 7.4081 7.4081 4.9126
angles (deg): 90.00 90.00 90.00
Fractional coordinates of all 10 atoms:
Mg1 0.3361 0.8361 0.0000
Mg2 0.8361 0.6639 0.0000
Mg3 0.6639 0.1639 0.0000
Mg4 0.1639 0.3361 0.0000
Bi1 0.1441 0.6441 0.5000
Bi2 0.6441 0.8559 0.5000
Bi3 0.8559 0.3559 0.5000
Bi4 0.3559 0.1441 0.5000
Se1 0.5000 0.5000 0.0000
Se2 0.0000 0.0000 0.0000

VASP energy = -30.6 eV for the cell shown
Crystal system = tetragonal


Entry 2:
# Ta2OsRu

A relaxed Ta2OsRu crystal (PBE, Alexandria).

a b c (Å): 8.5131 8.5131 8.5131
angles (deg): 20.53 20.53 20.53
Fractional coordinates of all 4 atoms:
Ta1 0.4997 0.4997 0.4997
Ta2 0.0003 0.0003 0.0003
Ru1 0.7500 0.7500 0.7500
Os1 0.2500 0.2500 0.2500

Energy of formation = 10 kJ/mol of formula units
Crystal system = trigonal


Entry 3:
# K3SnI6

A relaxed K3SnI6 crystal (PBE, Alexandria).

a b c (Å): 9.9434 9.9434 9.9434
angles (deg): 89.22 89.22 89.22
Fractional coordinates of all 20 atoms:
K1 0.0909 0.5650 0.2231
K2 0.2231 0.0909 0.5650
K3 0.9091 0.4350 0.7769
K4 0.5650 0.2231 0.0909
K5 0.7769 0.9091 0.4350
K6 0.4350 0.7769 0.9091
I1 0.4590 0.7983 0.5475
I2 0.2829 0.1015 0.9168
I3 0.7171 0.8985 0.0832
I4 0.8985 0.0832 0.7171
I5 0.0832 0.7171 0.8985
I6 0.5475 0.4590 0.7983
I7 0.9168 0.2829 0.1015
I8 0.4525 0.5410 0.2017
I9 0.1015 0.9168 0.2829
I10 0.5410 0.2017 0.4525
I11 0.2017 0.4525 0.5410
I12 0.7983 0.5475 0.4590
Sn1 0.0000 0.0000 0.0000
Sn2 0.5000 0.5000 0.5000

VASP energy = -53.5 eV for the cell shown
Crystal system = trigonal


Entry 4:
# Rb3Cu2NiI8

A relaxed Rb3Cu2NiI8 crystal (PBE, Alexandria).

a b c (Å): 8.0359 8.0359 10.0909
angles (deg): 90.00 90.00 120.00
Site moments in Bohr magnetons follow the coordinates.
Fractional coordinates of all 14 atoms:
I1 0.3333 0.6667 0.9928  0.01
I2 0.1566 0.3131 0.3336  0.02
I3 0.1566 0.8434 0.3336  0.02
I4 0.6869 0.8434 0.3336  0.02
I5 0.8434 0.1566 0.6664  0.02
I6 0.3131 0.1566 0.6664  0.02
I7 0.8434 0.6869 0.6664  0.02
I8 0.6667 0.3333 0.0072  0.01
Ni1 0.0000 0.0000 0.5000  0.73
Cu1 0.6667 0.3333 0.7599  0.01
Cu2 0.3333 0.6667 0.2401  0.01
Rb1 0.3333 0.6667 0.6341  0.00
Rb2 0.6667 0.3333 0.3659  0.00
Rb3 0.0000 0.0000 0.0000  0.00

VASP energy = -38.5 eV for the cell shown
Crystal system = trigonal


Entry 5:
# Ac5TbNd2Y

A relaxed Ac5TbNd2Y crystal (PBE, Alexandria).

a b c (Å): 5.8376 11.7166 11.0982
angles (deg): 90.00 90.00 104.43
Fractional coordinates of all 18 atoms:
Nd1 0.8863 0.7727 0.7654
Nd2 0.8861 0.7722 0.2511
Nd3 0.1137 0.2273 0.2654
Nd4 0.1139 0.2278 0.7511
Tb1 0.8033 0.6066 0.5084
Tb2 0.1967 0.3934 0.0084
Ac1 0.2818 0.5636 0.6949
Ac2 0.0028 0.0056 0.0080
Ac3 0.3697 0.7393 0.0084
Ac4 0.6303 0.2607 0.5084
Ac5 0.5001 0.0001 0.2580
Ac6 0.4999 0.9999 0.7580
Ac7 0.2813 0.5625 0.3221
Ac8 0.7182 0.4364 0.1949
Ac9 0.9972 0.9944 0.5080
Ac10 0.7187 0.4375 0.8221
Y1 0.4010 0.8020 0.5077
Y2 0.5990 0.1980 0.0077

Energy of formation = 116 kJ/mol of formula units
Crystal system = orthorhombic


Entry 6:
# HfS2O

A relaxed HfS2O crystal (PBE, Alexandria).

a b c (Å): 5.2266 5.2266 6.9399
angles (deg): 67.88 67.88 90.00
Fractional coordinates of all 8 atoms:
Hf1 0.0000 0.0000 0.0000
Hf2 0.7500 0.2500 0.5000
S1 0.3750 0.3972 0.7500
S2 0.8750 0.8528 0.7500
S3 0.1472 0.6250 0.2500
S4 0.6028 0.1250 0.2500
O1 0.5000 0.5000 0.0000
O2 0.2500 0.7500 0.5000

VASP energy = -48.2 eV for the cell shown
Crystal system = tetragonal


Entry 7:
# Pr2Ga2Au

A relaxed Pr2Ga2Au crystal (PBE, Alexandria).

a b c (Å): 4.5782 5.9476 10.0403
angles (deg): 85.63 76.82 67.36
Fractional coordinates of all 10 atoms:
Au1 0.6123 0.1171 0.6583
Au2 0.3877 0.8829 0.3417
Ga1 0.3699 0.1545 0.1057
Ga2 0.9211 0.7142 0.4436
Ga3 0.0789 0.2858 0.5564
Ga4 0.6301 0.8455 0.8943
Pr1 0.0776 0.7318 0.1129
Pr2 0.6896 0.2920 0.3289
Pr3 0.9224 0.2682 0.8871
Pr4 0.3104 0.7080 0.6711

Energy of formation = -332 kJ/mol of formula units
Crystal system = monoclinic


Entry 8:
# Sc2NbBS

A relaxed Sc2NbBS crystal (PBE, Alexandria).

a b c (Å): 5.1560 4.0424 5.1560
angles (deg): 90.00 90.00 90.00
Fractional coordinates of all 5 atoms:
Sc1 0.5000 0.0000 0.0000
Sc2 0.0000 0.0000 0.5000
Nb1 0.0000 0.0000 0.0000
B1 0.0000 0.5000 0.0000
S1 0.5000 0.5000 0.5000

VASP energy = -30.4 eV for the cell shown
Crystal system = tetragonal


Entry 9:
# Ga2SbCl

A relaxed Ga2SbCl crystal (PBE, Alexandria).

a b c (Å): 6.8167 6.8167 7.4315
angles (deg): 62.70 62.70 90.00
Fractional coordinates of all 8 atoms:
Sb1 0.0000 0.0000 0.0000
Sb2 0.7500 0.2500 0.5000
Cl1 0.2500 0.7500 0.5000
Cl2 0.5000 0.5000 0.0000
Ga1 0.3750 0.3712 0.7500
Ga2 0.8750 0.8788 0.7500
Ga3 0.6288 0.1250 0.2500
Ga4 0.1212 0.6250 0.2500

VASP energy = -24.6 eV for the cell shown
Crystal system = tetragonal


Entry 10:
# EuSc2Ni

A relaxed EuSc2Ni crystal (PBE, Alexandria).

a b c (Å): 3.5851 3.5851 10.0572
angles (deg): 79.73 79.73 60.00
Site moments in Bohr magnetons follow the coordinates.
Fractional coordinates of all 4 atoms:
Eu1 0.0000 0.0000 0.0000  -7.09
Ni1 0.5000 0.5000 0.5000  -0.01
Sc1 0.1175 0.1175 0.6476  -0.06
Sc2 0.8825 0.8825 0.3524  -0.06

Energy of formation = 26 kJ/mol of formula units
Crystal system = trigonal


Entry 11:
# TiB3N

A relaxed TiB3N crystal (PBE, Alexandria).

a b c (Å): 4.2805 4.2805 4.2805
angles (deg): 90.00 90.00 90.00
Site moments in Bohr magnetons follow the coordinates.
Fractional coordinates of all 5 atoms:
Ti1 0.0000 0.0000 0.0000  -0.31
B1 0.0000 0.0000 0.5000  -0.10
B2 0.5000 0.0000 0.0000  -0.08
B3 0.0000 0.5000 0.0000  -0.09
N1 0.5000 0.5000 0.5000  1.36

VASP energy = -22.1 eV for the cell shown
Crystal system = cubic


Entry 12:
# Li2AlCd

A relaxed Li2AlCd crystal (PBE, Alexandria).

a b c (Å): 5.0241 5.0241 5.2919
angles (deg): 82.80 82.80 33.36
Fractional coordinates of all 4 atoms:
Li1 0.5036 0.5036 0.4871
Li2 0.9964 0.9964 0.0129
Cd1 0.7500 0.7500 0.7500
Al1 0.2500 0.2500 0.2500

Energy of formation = -33 kJ/mol of formula units
Crystal system = monoclinic


Number 1: DOS at the Fermi energy 0.304 states/eV per atom. Number 2: DOS at the Fermi energy 1.140 states/eV per atom. Number 3: DOS at the Fermi energy 0.556 states/eV per atom. Number 4: DOS at the Fermi energy 0.361 states/eV per atom. Number 5: DOS at the Fermi energy 1.413 states/eV per atom. Number 6: DOS at the Fermi energy 0.529 states/eV per atom. Number 7: DOS at the Fermi energy 0.656 states/eV per atom. Number 8: DOS at the Fermi energy 0.568 states/eV per atom. Number 9: DOS at the Fermi energy 0.224 states/eV per atom. Number 10: DOS at the Fermi energy 1.463 states/eV per atom. Number 11: DOS at the Fermi energy 0.709 states/eV per atom. Number 12: DOS at the Fermi energy 0.356 states/eV per atom.